Density functional theory data (SCAN) for a PBEsol-optimized structure of BiPbO2F.

Calculated values
As for the crystal system: trigonal. The density of states at the Fermi level comes out at 0.00 states/eV/atom. The calculated total energy comes out at -35.59 eV/atom. Its uncorrected formation energy is -731 kJ/mol of formula units.

abc: 3.9427 3.9427 6.1947
angles: 90.00 90.00 120.00
Space group P3m1 (No. 156)
Inequivalent atoms, fractional coordinates:
Bi 0.0000 0.0000 0.0000 x1
Pb 0.6667 0.3333 0.4745 x1
O 0.0000 0.0000 0.3521 x1
O 0.6667 0.3333 0.0904 x1
F 0.3333 0.6667 0.7899 x1